Computed, not measured: Ba2LiMg at its PBEsol-relaxed geometry at the meta-GGA SCAN level of DFT.

Results
The space-group type is R3m, No. 160. The value obtained for the energy of formation is 0.20 eV per formula unit. For the total magnetization, the calculation gives 0.1 μB per cell. The density of states at the Fermi level is 3.57 states/eV per cell.

Lattice parameters (Å, degrees): 8.514 8.514 8.514 34.61 34.61 34.61
Sites, in units of the cell vectors:
Ba (0.000, 0.000, 0.000)
Ba (0.189, 0.189, 0.189)
Li (0.761, 0.761, 0.761)
Mg (0.428, 0.428, 0.428)